The following is a DFT calculation (PBE-GGA) of TbPmCuNi after structural relaxation.

Cell: 4.9194 4.9194 4.9194 Å, 60.00 60.00 60.00°
With the nearest neighbours (Å) after each atom.
Atoms (fractional coordinates):
Ni1 0.7500 0.7500 0.7500  4 Tb 3.01, 4 Pm 3.01
Tb1 0.0000 0.0000 0.0000  4 Cu 3.01, 4 Ni 3.01
Cu1 0.2500 0.2500 0.2500  4 Pm 3.01, 4 Tb 3.01
Pm1 0.5000 0.5000 0.5000  4 Ni 3.01, 4 Cu 3.01

Properties
- ΔE to the lowest computed polymorph (meV/atom) = 47
- N(E_F) (states/eV/f.u.) = 2.57


The following is a DFT calculation (PBE-GGA) of PmTiCuNi after structural relaxation.

Cell: 4.6679 4.6679 4.6679 Å, 60.00 60.00 60.00°
With the nearest neighbours (Å) after each atom.
Atoms (fractional coordinates):
Ni1 0.0000 0.0000 0.0000  4 Ti 2.86, 4 Pm 2.86
Ti1 0.2500 0.2500 0.2500  4 Ni 2.86, 4 Cu 2.86
Cu1 0.5000 0.5000 0.5000  4 Pm 2.86, 4 Ti 2.86
Pm1 0.7500 0.7500 0.7500  4 Cu 2.86, 4 Ni 2.86

Properties
- N(E_F) (states/eV/f.u.) = 5.59
- raw total energy (eV/f.u.) = -22.57


The following is a DFT calculation (PBE-GGA) of Pm2TiCu3Ni12 after structural relaxation.

Cell: 6.3176 6.3176 6.3176 Å, 82.52 82.52 82.52°
With the nearest neighbours (Å) after each atom.
Atoms (fractional coordinates):
Pm1 0.7118 0.7118 0.7118  9 Ni 2.75-2.82, 3 Cu 2.83
Pm2 0.2882 0.2882 0.2882  9 Ni 2.75-2.82, 3 Cu 2.83
Ti1 0.0000 0.0000 0.0000  6 Ni 2.33
Cu1 0.5000 0.0000 0.0000  10 Ni 2.56-2.80, 2 Pm 2.83
Cu2 0.0000 0.5000 0.0000  10 Ni 2.56-2.80, 2 Pm 2.83
Cu3 0.0000 0.0000 0.5000  10 Ni 2.56-2.80, 2 Pm 2.83
Ni1 0.4137 0.4137 0.8554  5 Ni 2.33-2.60
Ni2 0.8015 0.8015 0.2735  1 Ti 2.33, 5 Ni 2.33-2.49, 1 Cu 2.56
Ni3 0.2735 0.8015 0.8015  1 Ti 2.33, 5 Ni 2.33-2.49, 1 Cu 2.56
Ni4 0.8554 0.4137 0.4137  5 Ni 2.33-2.60
Ni5 0.8015 0.2735 0.8015  1 Ti 2.33, 5 Ni 2.33-2.49, 1 Cu 2.56
Ni6 0.4137 0.8554 0.4137  5 Ni 2.33-2.60
Ni7 0.5863 0.5863 0.1446  5 Ni 2.33-2.60
Ni8 0.1985 0.1985 0.7265  1 Ti 2.33, 5 Ni 2.33-2.49, 1 Cu 2.56
Ni9 0.7265 0.1985 0.1985  1 Ti 2.33, 5 Ni 2.33-2.49, 1 Cu 2.56
Ni10 0.1446 0.5863 0.5863  5 Ni 2.33-2.60
Ni11 0.1985 0.7265 0.1985  1 Ti 2.33, 5 Ni 2.33-2.49, 1 Cu 2.56
Ni12 0.5863 0.1446 0.5863  5 Ni 2.33-2.60

Properties
- N(E_F) (states/eV/f.u.) = 18.68
- raw total energy (eV/f.u.) = -99.23


The following is a DFT calculation (PBE-GGA) of PmTlCuNi after structural relaxation.

Cell: 4.7710 4.7710 4.7710 Å, 60.00 60.00 60.00°
With the nearest neighbours (Å) after each atom.
Atoms (fractional coordinates):
Ni1 0.7500 0.7500 0.7500  4 Tl 2.92, 4 Pm 2.92
Tl1 0.5000 0.5000 0.5000  4 Cu 2.92, 4 Ni 2.92
Cu1 0.2500 0.2500 0.2500  4 Pm 2.92, 4 Tl 2.92
Pm1 0.0000 0.0000 0.0000  4 Ni 2.92, 4 Cu 2.92

Properties
- N(E_F) (states/eV/f.u.) = 3.76
- raw total energy (eV/f.u.) = -17.49


The following is a DFT calculation (PBE-GGA) of PmTmCuNi after structural relaxation.

Cell: 4.8717 4.8717 4.8717 Å, 60.00 60.00 60.00°
With the nearest neighbours (Å) after each atom.
Atoms (fractional coordinates):
Ni1 0.7500 0.7500 0.7500  4 Tm 2.98, 4 Pm 2.98
Tm1 0.5000 0.5000 0.5000  4 Ni 2.98, 4 Cu 2.98
Cu1 0.2500 0.2500 0.2500  4 Pm 2.98, 4 Tm 2.98
Pm1 0.0000 0.0000 0.0000  4 Ni 2.98, 4 Cu 2.98

Properties
- ΔE to the lowest computed polymorph (meV/atom) = 33
- N(E_F) (states/eV/f.u.) = 2.32


The following is a DFT calculation (PBE-GGA) of PmTmCuNi after structural relaxation.

Cell: 3.7409 4.4146 5.4593 Å, 90.00 110.04 90.00°
With the nearest neighbours (Å) after each atom.
Atoms (fractional coordinates):
Pm1 0.1417 0.0000 0.2834  3 Ni 2.89-2.92, 4 Cu 2.99
Tm1 0.8628 0.5000 0.7257  3 Cu 2.82-3.01, 4 Ni 2.97
Cu1 0.5689 0.5000 0.1379  2 Ni 2.65, 2 Tm 2.82
Ni1 0.4265 0.0000 0.8530  2 Cu 2.65, 3 Pm 2.89-2.92

Properties
- ΔE to the lowest computed polymorph (meV/atom) = 0
- N(E_F) (states/eV/f.u.) = 3.07